(1)
# PBE-GGA Th2ReNi, optimized geometry
data_Th2ReNi
_cell_length_a 3.4575
_cell_length_b 3.4575
_cell_length_c 9.4310
_cell_angle_alpha 79.44
_cell_angle_beta 79.44
_cell_angle_gamma 60.00
_space_group_name_H-M_alt 'P 1'
_space_group_IT_number 1
loop_
_space_group_symop_operation_xyz
'x,y,z'
loop_
_atom_site_label
_atom_site_fract_x
_atom_site_fract_y
_atom_site_fract_z
Ni1 0.5000 0.5000 0.5000
Re1 0.0000 0.0000 0.0000
Th1 0.0941 0.0941 0.7176
Th2 0.9059 0.9059 0.2824
# M_tot: 0.000 μB per atom
# space group: No. 166
# total energy: -7.569 eV per atom
# energy of formation: 0.698 eV per atom

=====

(2)
# PBE-GGA CaGe2AsP, optimized geometry
data_CaGe2AsP
_cell_length_a 5.0089
_cell_length_b 4.9017
_cell_length_c 5.0089
_cell_angle_alpha 90.00
_cell_angle_beta 90.00
_cell_angle_gamma 90.00
_space_group_name_H-M_alt 'P 1'
_space_group_IT_number 1
loop_
_space_group_symop_operation_xyz
'x,y,z'
loop_
_atom_site_label
_atom_site_fract_x
_atom_site_fract_y
_atom_site_fract_z
Ca1 0.5000 0.5000 0.5000
P1 0.0000 0.5000 0.0000
Ge1 0.0000 0.0000 0.5000
Ge2 0.5000 0.0000 0.0000
As1 0.0000 0.0000 0.0000
# M_tot: 0.000 μB per atom
# space group: No. 123
# total energy: -3.969 eV per atom
# energy of formation: 0.290 eV per atom

=====

(3)
# PBE-GGA Nb3Co8Pt, optimized geometry
data_Nb3Co8Pt
_cell_length_a 4.7430
_cell_length_b 4.7430
_cell_length_c 7.7762
_cell_angle_alpha 90.00
_cell_angle_beta 90.00
_cell_angle_gamma 120.00
_space_group_name_H-M_alt 'P 1'
_space_group_IT_number 1
loop_
_space_group_symop_operation_xyz
'x,y,z'
loop_
_atom_site_label
_atom_site_fract_x
_atom_site_fract_y
_atom_site_fract_z
Co1 0.1639 0.8361 0.2486
Co2 0.6723 0.8361 0.2486
Nb1 0.0000 0.0000 0.9113
Nb2 0.6667 0.3333 0.0720
Co3 0.3333 0.6667 0.0049
Co4 0.5016 0.0033 0.7534
Co5 0.5016 0.4984 0.7534
Co6 0.9967 0.4984 0.7534
Nb3 0.6667 0.3333 0.4505
Co7 0.1639 0.3277 0.2486
Pt1 0.0000 0.0000 0.5551
Co8 0.3333 0.6667 0.5004
# M_tot: 0.398 μB per atom
# space group: No. 156
# total energy: -7.971 eV per atom
# energy of formation: -0.213 eV per atom

=====

(4)
# PBE-GGA LaPmSe3, optimized geometry
data_LaPmSe3
_cell_length_a 4.2424
_cell_length_b 7.1981
_cell_length_c 9.2774
_cell_angle_alpha 90.00
_cell_angle_beta 90.00
_cell_angle_gamma 90.00
_space_group_name_H-M_alt 'P 1'
_space_group_IT_number 1
loop_
_space_group_symop_operation_xyz
'x,y,z'
loop_
_atom_site_label
_atom_site_fract_x
_atom_site_fract_y
_atom_site_fract_z
Se1 0.0000 0.2292 0.3309
Se2 0.5000 0.7292 0.6691
Se3 0.5000 0.5000 0.0690
Pm1 0.5000 0.5000 0.3994
Se4 0.0000 0.0000 0.9310
Se5 0.5000 0.2708 0.6691
La1 0.5000 0.0000 0.1486
Pm2 0.0000 0.0000 0.6006
La2 0.0000 0.5000 0.8514
Se6 0.0000 0.7708 0.3309
# M_tot: 0.000 μB per atom
# space group: No. 59
# total energy: -5.959 eV per atom
# raw formation energy: -186.4 kJ/mol of atoms
# distance to the lowest polymorph of the same formula: 0.049 eV per atom

=====

(5)
# PBE-GGA KP4Pb, optimized geometry
data_KP4Pb
_cell_length_a 5.8578
_cell_length_b 5.8578
_cell_length_c 5.8578
_cell_angle_alpha 60.00
_cell_angle_beta 60.00
_cell_angle_gamma 60.00
_space_group_name_H-M_alt 'P 1'
_space_group_IT_number 1
loop_
_space_group_symop_operation_xyz
'x,y,z'
loop_
_atom_site_label
_atom_site_fract_x
_atom_site_fract_y
_atom_site_fract_z
P1 0.4012 0.7965 0.4012
P2 0.7965 0.4012 0.4012
P3 0.4012 0.4012 0.7965
Pb1 0.7500 0.7500 0.7500
P4 0.4012 0.4012 0.4012
K1 0.0000 0.0000 0.0000
# M_tot: 0.000 μB per atom
# space group: No. 216
# total energy: -4.208 eV per atom
# energy of formation: 0.200 eV per atom

=====

(6)
# PBE-GGA La4Nd2YTm2, optimized geometry
data_La4Nd2YTm2
_cell_length_a 5.2055
_cell_length_b 8.2195
_cell_length_c 8.1055
_cell_angle_alpha 107.70
_cell_angle_beta 90.00
_cell_angle_gamma 108.46
_space_group_name_H-M_alt 'P 1'
_space_group_IT_number 1
loop_
_space_group_symop_operation_xyz
'x,y,z'
loop_
_atom_site_label
_atom_site_fract_x
_atom_site_fract_y
_atom_site_fract_z
Nd1 0.8875 0.7750 0.3296
Tm1 0.6677 0.3353 0.9996
La1 0.4455 0.8910 0.6709
La2 0.2235 0.4470 0.3298
Nd2 0.1125 0.2250 0.6704
La3 0.7765 0.5530 0.6702
Tm2 0.3323 0.6647 0.0004
La4 0.5545 0.1090 0.3291
Y1 0.0000 0.0000 0.0000
# M_tot: 0.000 μB per atom
# space group: No. 12
# total energy: -4.931 eV per atom
# energy of formation: 0.030 eV per atom